(1)
The following is a DFT calculation (PBE-GGA) of a geometry-optimized MoP2Br structure.

Its uncorrected formation energy is -0.115 eV/atom. For the spin magnetization, the calculation gives 0.00 Bohr magnetons per cell. Its relative energy among the computed polymorphs is 0 meV/atom.

The space group is Cm (No. 8) and the conventional cell measures 7.758, 3.297 and 7.638 Å, with angles of 90.00, 99.60 and 90.00 degrees. Symmetry generates all atoms from Mo at (0.000, 0.000, 0.000), P at (0.275, 0.000, 0.896), P at (0.460, 0.000, 0.732) and Br at (0.185, 0.500, 0.243).


(2)
The following is a DFT calculation (PBE-GGA) of a geometry-optimized LaZnS2N structure.

Its uncorrected formation energy is 0.370 eV/atom. For the spin magnetization, the calculation gives 1.43 Bohr magnetons per cell. Its relative energy among the computed polymorphs is 824 meV/atom.

The space group is P4/mmm (No. 123) and the conventional cell measures 5.625, 5.625 and 4.325 Å, with angles of 90.00, 90.00 and 90.00 degrees. Symmetry generates all atoms from La at (0.000, 0.000, 0.000), Zn at (0.500, 0.500, 0.500), S at (0.000, 0.500, 0.000) and N at (0.000, 0.000, 0.500).


(3)
The following is a DFT calculation (PBE-GGA) of a geometry-optimized Rb3TaBr8 structure.

Its uncorrected formation energy is -1.311 eV/atom. For the spin magnetization, the calculation gives 0.00 Bohr magnetons per cell.

The space group is P6_3mc (No. 186) and the conventional cell measures 10.3432, 10.3432 and 9.9586 Å, with angles of 90.00, 90.00 and 120.00 degrees. Symmetry generates all atoms from Rb at (0.1521, 0.3041, 0.0000), Ta at (0.3333, 0.6667, 0.4566), Br at (0.0000, 0.0000, 0.2633), Br at (0.1017, 0.5508, 0.3143), Br at (0.2179, 0.4357, 0.6090) and Br at (0.3333, 0.6667, 0.9652).


(4)
The following is a DFT calculation (PBE-GGA) of a geometry-optimized Ca2MoIrSe structure.

Its uncorrected formation energy is 0.530 eV/atom. For the spin magnetization, the calculation gives 4.93 Bohr magnetons per cell.

The space group is P4/mmm (No. 123) and the conventional cell measures 5.584, 5.584 and 4.646 Å, with angles of 90.00, 90.00 and 90.00 degrees. Symmetry generates all atoms from Ca at (0.000, 0.500, 0.000), Mo at (0.000, 0.000, 0.500), Ir at (0.500, 0.500, 0.000) and Se at (0.500, 0.500, 0.500).